(1)
## InOsRh (GGA-PBE)

Data for an optimized crystal structure of InOsRh.

Structure (CIF):
```
data_InOsRh
_cell_length_a 2.8912
_cell_length_b 2.8912
_cell_length_c 6.7203
_cell_angle_alpha 90.00
_cell_angle_beta 90.00
_cell_angle_gamma 120.00
_space_group_name_H-M_alt 'P 3 m 1'
_space_group_IT_number 156
_space_group_name_Hall 'P 3 -2"'
loop_
_atom_site_label
_atom_site_fract_x
_atom_site_fract_y
_atom_site_fract_z
In1 0.0000 0.0000 0.0000
Os1 0.6667 0.3333 0.3538
Rh1 0.3333 0.6667 0.6586
```

Its density is 13.9 g/cm3. As for the crystal system: trigonal. The calculation puts the spin magnetization at 0.000 μB/f.u. The calculation puts the energy above the most stable polymorph in this dataset at 0.113 eV/atom.

(2)
## InOs2Rh (GGA-PBE)

Data for an optimized crystal structure of InOs2Rh.

Structure (CIF):
```
data_InOs2Rh
_cell_length_a 2.8442
_cell_length_b 3.7984
_cell_length_c 5.8462
_cell_angle_alpha 90.00
_cell_angle_beta 90.00
_cell_angle_gamma 90.00
_space_group_name_H-M_alt 'P m m 2'
_space_group_IT_number 25
_space_group_name_Hall 'P 2 -2'
loop_
_atom_site_label
_atom_site_fract_x
_atom_site_fract_y
_atom_site_fract_z
In1 0.0000 0.0000 0.0000
Os1 0.0000 0.0000 0.4922
Os2 0.5000 0.5000 0.2978
Rh1 0.5000 0.5000 0.7582
```

Its density is 15.7 g/cm3. The uncorrected energy comes out at -7.94 eV per atom. As for the crystal system: orthorhombic. The calculation puts the spin magnetization at 0.000 μB/f.u.

(3)
## InOs2Rh (GGA-PBE)

Data for an optimized crystal structure of InOs2Rh.

Structure (CIF):
```
data_InOs2Rh
_cell_length_a 9.1620
_cell_length_b 2.8287
_cell_length_c 4.9222
_cell_angle_alpha 90.00
_cell_angle_beta 99.77
_cell_angle_gamma 90.00
_space_group_name_H-M_alt 'C 1 m 1'
_space_group_IT_number 8
_space_group_name_Hall 'C -2y'
loop_
_atom_site_label
_atom_site_fract_x
_atom_site_fract_y
_atom_site_fract_z
In1 0.0000 0.0000 0.0000
Os1 0.2594 0.5000 0.3158
Os2 0.4995 0.0000 0.4928
Rh1 0.2460 0.0000 0.7803
```

Its density is 15.8 g/cm3. The uncorrected energy comes out at -7.86 eV per atom. As for the crystal system: monoclinic. The calculation puts the spin magnetization at 0.001 μB/f.u.

(4)
## InOsRh (GGA-PBE)

Data for an optimized crystal structure of InOsRh.

Structure (CIF):
```
data_InOsRh
_cell_length_a 2.8658
_cell_length_b 3.8922
_cell_length_c 8.7314
_cell_angle_alpha 90.00
_cell_angle_beta 90.00
_cell_angle_gamma 90.00
_space_group_name_H-M_alt 'I m m 2'
_space_group_IT_number 44
_space_group_name_Hall 'I 2 -2'
loop_
_atom_site_label
_atom_site_fract_x
_atom_site_fract_y
_atom_site_fract_z
In1 0.0000 0.0000 0.0000
Os1 0.0000 0.0000 0.3222
Rh1 0.0000 0.0000 0.6762
```

Its density is 13.9 g/cm3. As for the crystal system: orthorhombic. The calculation puts the spin magnetization at 0.004 μB/f.u. The calculation puts the energy above the most stable polymorph in this dataset at 0.189 eV/atom.

(5)
## InOs2Rh (GGA-PBE)

Data for an optimized crystal structure of InOs2Rh.

Structure (CIF):
```
data_InOs2Rh
_cell_length_a 2.8257
_cell_length_b 2.8257
_cell_length_c 7.8661
_cell_angle_alpha 90.00
_cell_angle_beta 90.00
_cell_angle_gamma 90.00
_space_group_name_H-M_alt 'P 4/m m m'
_space_group_IT_number 123
_space_group_name_Hall '-P 4 2'
loop_
_atom_site_label
_atom_site_fract_x
_atom_site_fract_y
_atom_site_fract_z
In1 0.0000 0.0000 0.0000
Os1 0.5000 0.5000 0.2684
Rh1 0.0000 0.0000 0.5000
```

Its density is 15.8 g/cm3. The uncorrected energy comes out at -7.68 eV per atom. As for the crystal system: tetragonal. The calculation puts the spin magnetization at 0.000 μB/f.u.

(6)
## InOs2Rh (GGA-PBE)

Data for an optimized crystal structure of InOs2Rh.

Structure (CIF):
```
data_InOs2Rh
_cell_length_a 3.8981
_cell_length_b 3.8981
_cell_length_c 8.2106
_cell_angle_alpha 90.00
_cell_angle_beta 90.00
_cell_angle_gamma 90.00
_space_group_name_H-M_alt 'I 4/m m m'
_space_group_IT_number 139
_space_group_name_Hall '-I 4 2'
loop_
_atom_site_label
_atom_site_fract_x
_atom_site_fract_y
_atom_site_fract_z
In1 0.0000 0.0000 0.0000
Os1 0.0000 0.5000 0.2500
Rh1 0.0000 0.0000 0.5000
```

Its density is 15.9 g/cm3. The uncorrected energy comes out at -7.74 eV per atom. As for the crystal system: tetragonal. The calculation puts the spin magnetization at 0.000 μB/f.u.

(7)
## InOs2Rh (GGA-PBE)

Data for an optimized crystal structure of InOs2Rh.

Structure (CIF):
```
data_InOs2Rh
_cell_length_a 4.6229
_cell_length_b 4.6229
_cell_length_c 2.9524
_cell_angle_alpha 90.00
_cell_angle_beta 90.00
_cell_angle_gamma 90.00
_space_group_name_H-M_alt 'P 4/m m m'
_space_group_IT_number 123
_space_group_name_Hall '-P 4 2'
loop_
_atom_site_label
_atom_site_fract_x
_atom_site_fract_y
_atom_site_fract_z
In1 0.0000 0.0000 0.0000
Os1 0.0000 0.5000 0.5000
Rh1 0.5000 0.5000 0.0000
```

Its density is 15.7 g/cm3. The uncorrected energy comes out at -7.48 eV per atom. As for the crystal system: tetragonal. The calculation puts the spin magnetization at 0.000 μB/f.u.

(8)
## InOs2Rh (GGA-PBE)

Data for an optimized crystal structure of InOs2Rh.

Structure (CIF):
```
data_InOs2Rh
_cell_length_a 2.8484
_cell_length_b 4.7466
_cell_length_c 9.4984
_cell_angle_alpha 90.00
_cell_angle_beta 90.00
_cell_angle_gamma 90.00
_space_group_name_H-M_alt 'I m m 2'
_space_group_IT_number 44
_space_group_name_Hall 'I 2 -2'
loop_
_atom_site_label
_atom_site_fract_x
_atom_site_fract_y
_atom_site_fract_z
In1 0.0000 0.0000 0.0000
Os1 0.0000 0.0000 0.5102
Os2 0.0000 0.5000 0.2339
Rh1 0.0000 0.5000 0.7619
```

Its density is 15.5 g/cm3. The uncorrected energy comes out at -7.65 eV per atom. As for the crystal system: orthorhombic. The calculation puts the spin magnetization at 0.000 μB/f.u.

(9)
## InOs2Rh (GGA-PBE)

Data for an optimized crystal structure of InOs2Rh.

Structure (CIF):
```
data_InOs2Rh
_cell_length_a 9.3315
_cell_length_b 2.8275
_cell_length_c 4.8252
_cell_angle_alpha 90.00
_cell_angle_beta 100.35
_cell_angle_gamma 90.00
_space_group_name_H-M_alt 'C 1 2/m 1'
_space_group_IT_number 12
_space_group_name_Hall '-C 2y'
loop_
_atom_site_label
_atom_site_fract_x
_atom_site_fract_y
_atom_site_fract_z
In1 0.0000 0.0000 0.0000
Os1 0.2418 0.0000 0.7270
Rh1 0.0000 0.5000 0.5000
```

Its density is 15.9 g/cm3. The uncorrected energy comes out at -7.84 eV per atom. As for the crystal system: monoclinic. The calculation puts the spin magnetization at 0.000 μB/f.u.

(10)
## InOs2Rh (GGA-PBE)

Data for an optimized crystal structure of InOs2Rh.

Structure (CIF):
```
data_InOs2Rh
_cell_length_a 2.8234
_cell_length_b 2.8234
_cell_length_c 27.2454
_cell_angle_alpha 90.00
_cell_angle_beta 90.00
_cell_angle_gamma 120.00
_space_group_name_H-M_alt 'R -3 m'
_space_group_IT_number 166
_space_group_name_Hall '-R 3 2"'
loop_
_atom_site_label
_atom_site_fract_x
_atom_site_fract_y
_atom_site_fract_z
In1 0.0000 0.0000 0.0000
Os1 0.0000 0.0000 0.2457
Rh1 0.0000 0.0000 0.5000
```

Its density is 15.8 g/cm3. The uncorrected energy comes out at -7.69 eV per atom. As for the crystal system: trigonal. The calculation puts the spin magnetization at 0.000 μB/f.u.

(11)
## In4OsRh (GGA-PBE)

Data for an optimized crystal structure of In4OsRh.

Structure (CIF):
```
data_In4OsRh
_cell_length_a 7.8488
_cell_length_b 7.8488
_cell_length_c 7.8488
_cell_angle_alpha 90.00
_cell_angle_beta 90.00
_cell_angle_gamma 90.00
_space_group_name_H-M_alt 'F -4 3 m'
_space_group_IT_number 216
_space_group_name_Hall 'F -4 2 3'
loop_
_atom_site_label
_atom_site_fract_x
_atom_site_fract_y
_atom_site_fract_z
In1 0.1251 0.1251 0.1251
Os1 0.2500 0.2500 0.7500
Rh1 0.0000 0.0000 0.5000
```

Its density is 10.3 g/cm3. The uncorrected energy comes out at -3.94 eV per atom. As for the crystal system: cubic. The calculation puts the spin magnetization at 0.001 μB/f.u.

(12)
## InOsRh (GGA-PBE)

Data for an optimized crystal structure of InOsRh.

Structure (CIF):
```
data_InOsRh
_cell_length_a 2.8695
_cell_length_b 2.8695
_cell_length_c 11.8318
_cell_angle_alpha 90.00
_cell_angle_beta 90.00
_cell_angle_gamma 90.00
_space_group_name_H-M_alt 'I 4 m m'
_space_group_IT_number 107
_space_group_name_Hall 'I 4 -2'
loop_
_atom_site_label
_atom_site_fract_x
_atom_site_fract_y
_atom_site_fract_z
In1 0.0000 0.0000 0.0000
Os1 0.0000 0.0000 0.3208
Rh1 0.0000 0.0000 0.6785
```

Its density is 13.9 g/cm3. As for the crystal system: tetragonal. The calculation puts the spin magnetization at 0.000 μB/f.u. The calculation puts the energy above the most stable polymorph in this dataset at 0.000 eV/atom.

(13)
## InOsRh (GGA-PBE)

Data for an optimized crystal structure of InOsRh.

Structure (CIF):
```
data_InOsRh
_cell_length_a 6.0859
_cell_length_b 6.0859
_cell_length_c 6.0859
_cell_angle_alpha 90.00
_cell_angle_beta 90.00
_cell_angle_gamma 90.00
_space_group_name_H-M_alt 'F -4 3 m'
_space_group_IT_number 216
_space_group_name_Hall 'F -4 2 3'
loop_
_atom_site_label
_atom_site_fract_x
_atom_site_fract_y
_atom_site_fract_z
In1 0.0000 0.0000 0.0000
Os1 0.0000 0.0000 0.5000
Rh1 0.2500 0.2500 0.7500
```

Its density is 12.0 g/cm3. As for the crystal system: cubic. The calculation puts the spin magnetization at 0.002 μB/f.u. The calculation puts the energy above the most stable polymorph in this dataset at 0.384 eV/atom.

(14)
## In2OsRh2 (GGA-PBE)

Data for an optimized crystal structure of In2OsRh2.

Structure (CIF):
```
data_In2OsRh2
_cell_length_a 7.5942
_cell_length_b 7.5942
_cell_length_c 2.9557
_cell_angle_alpha 90.00
_cell_angle_beta 90.00
_cell_angle_gamma 90.00
_space_group_name_H-M_alt 'P 4/m b m'
_space_group_IT_number 127
_space_group_name_Hall '-P 4 2ab'
loop_
_atom_site_label
_atom_site_fract_x
_atom_site_fract_y
_atom_site_fract_z
In1 0.1403 0.3597 0.0000
Os1 0.0000 0.0000 0.0000
Rh1 0.1605 0.6605 0.5000
```

Its density is 12.2 g/cm3. As for the crystal system: tetragonal. The calculation puts the spin magnetization at 0.000 μB/f.u. The calculation puts the energy above the most stable polymorph in this dataset at 0.000 eV/atom.